Computed, not measured: crystalline Li3Mn2CoO6 at its relaxed geometry at the GGA+U level of DFT.

Computed properties:
Mass density (g cm⁻³): 4.22
E_tot (hartree per atom): -0.231

Cell lengths 6.568, 6.568, 5.280 Å; angles 84.94, 84.94, 83.25 degrees
Site moments in Bohr magnetons follow the coordinates.
Element x y z (fractional)
Li (0.749, 0.749, 0.250)  0.00
Li (0.251, 0.251, 0.750)  0.00
Li (0.591, 0.924, 0.723)  0.01
Li (0.076, 0.409, 0.277)  0.01
Li (0.409, 0.076, 0.277)  0.01
Li (0.924, 0.591, 0.723)  0.01
Mn (0.332, 0.668, 0.500)  3.21
Mn (0.834, 0.166, 0.000)  3.87
Mn (0.668, 0.332, 0.500)  3.21
Mn (0.166, 0.834, 0.000)  3.87
Co (0.500, 0.500, 0.000)  2.70
Co (0.000, 0.000, 0.500)  2.70
O (0.884, 0.884, 0.887)  -0.01
O (0.386, 0.386, 0.390)  -0.02
O (0.116, 0.116, 0.113)  -0.01
O (0.614, 0.614, 0.610)  -0.02
O (0.703, 0.061, 0.382)  0.06
O (0.220, 0.567, 0.842)  -0.03
O (0.567, 0.220, 0.842)  -0.03
O (0.061, 0.703, 0.382)  0.06
O (0.433, 0.780, 0.158)  -0.03
O (0.939, 0.297, 0.618)  0.06
O (0.297, 0.939, 0.618)  0.06
O (0.780, 0.433, 0.158)  -0.03